Record 1
DyY2Cu2, relaxed, DFT PBE; V = 23.232 Å³/atom; Fermi-level density of states = 8.35 states/eV per cell; size of the total moment = 0.0 Bohr magnetons per cell; DFT formation energy = -77 kJ/mol of formula units; space-group type = Cmcm
1.0
3.4853 0.0000 -0.4673
0.0000 5.0741 0.0000
-0.0150 0.0000 13.1389
Dy Y Cu
2 4 4
Cartesian
2.9837 3.8056 9.0354 Dy
0.4866 1.2685 3.6361 Dy
0.1599 3.8056 1.1978 Y
3.3104 1.2685 11.4738 Y
0.7931 3.8056 5.9137 Y
2.6772 1.2685 6.7579 Y
2.2240 3.8056 3.3538 Cu
1.2463 1.2685 9.3178 Cu
1.5676 3.8056 11.6940 Cu
1.9027 1.2685 0.9776 Cu

=====

Record 2
DyY5Cu6, relaxed, DFT PBE; V = 21.091 Å³/atom; Fermi-level density of states = 5.81 states/eV per cell; size of the total moment = 0.0 Bohr magnetons per cell; DFT formation energy = -286 kJ/mol of formula units; space-group type = Cmmm
1.0
4.6854 -0.0281 1.5614
0.0371 6.9128 0.0124
-0.0010 -0.0141 7.8134
Y Cu Dy
5 6 1
Cartesian
3.1428 3.4283 6.2521 Y
1.5617 -0.0141 3.1243 Y
0.0185 3.4564 0.0062 Y
3.1227 -0.0281 6.2506 Y
1.5786 3.4423 3.1351 Y
3.9373 5.1604 3.8993 Cu
3.9185 1.6961 3.8930 Cu
2.3523 1.6972 0.7839 Cu
2.3702 5.1875 0.7899 Cu
0.8029 5.1745 5.4942 Cu
0.7841 1.7102 5.4879 Cu
0.0000 0.0000 0.0000 Dy

=====

Record 3
DyY2Cu6, relaxed, DFT PBE; V = 18.525 Å³/atom; Fermi-level density of states = 4.92 states/eV per cell; size of the total moment = 0.0 Bohr magnetons per cell; DFT formation energy = -222 kJ/mol of formula units; space-group type = P6/mmm
1.0
3.5898 0.0000 0.0000
0.0000 6.3421 -3.6616
0.0000 0.0000 7.3232
Dy Y Cu
1 2 6
Cartesian
0.0000 0.0000 7.3232 Dy
0.0000 2.1140 3.6616 Y
3.5897 4.2280 0.0000 Y
1.7949 2.1113 1.2190 Cu
1.7949 4.2307 2.4426 Cu
1.7949 0.0000 4.8853 Cu
1.7949 4.2307 4.8805 Cu
1.7949 2.1113 -1.2190 Cu
1.7949 6.3420 -1.2237 Cu

=====

Record 4
DyY2Cu3, relaxed, DFT PBE; V = 21.009 Å³/atom; Fermi-level density of states = 2.83 states/eV per cell; size of the total moment = 0.0 Bohr magnetons per cell; DFT formation energy = -144 kJ/mol of formula units; space-group type = P4/mmm
1.0
3.4712 0.0000 0.0000
0.0000 3.4712 0.0000
0.0000 0.0000 10.4620
Dy Y Cu
1 2 3
Cartesian
1.7356 1.7356 5.2310 Dy
1.7356 1.7356 8.7141 Y
1.7356 1.7356 1.7479 Y
0.0000 0.0000 0.0000 Cu
0.0000 0.0000 6.9554 Cu
0.0000 0.0000 3.5066 Cu

=====

Record 5
DyYCu4, relaxed, DFT PBE; V = 17.969 Å³/atom; Fermi-level density of states = 2.95 states/eV per cell; size of the total moment = 0.0 Bohr magnetons per cell; DFT formation energy = -157 kJ/mol of formula units; space-group type = Imm2
1.0
3.9440 0.0000 1.6904
1.8418 5.0075 1.1489
-0.0050 0.0093 5.4578
Dy Y Cu
1 1 4
Cartesian
2.9827 2.2886 3.9332 Dy
1.8786 0.2224 1.0632 Y
1.8235 3.1912 1.1917 Cu
4.8801 4.3202 4.9524 Cu
4.1512 2.3475 6.6530 Cu
0.7079 0.1719 3.7945 Cu

=====

Record 6
DyZn2Cu6, relaxed, DFT PBE; V = 17.954 Å³/atom; Fermi-level density of states = 8.03 states/eV per cell; size of the total moment = 0.0 Bohr magnetons per cell; DFT formation energy = 316 kJ/mol of formula units; space-group type = Fd-3m
1.0
-0.0891 4.9029 -5.9403
0.3382 -2.6821 -7.2129
-6.1956 0.4157 -4.5581
Dy Zn Cu
2 4 12
Cartesian
-2.9732 1.3183 -8.8557 Dy
-4.4599 1.9774 -13.2836 Dy
-0.7433 0.3296 -2.2139 Zn
-0.5742 -1.0115 -5.8204 Zn
-3.8411 0.5374 -4.4930 Zn
-0.7879 2.7810 -5.1841 Zn
-4.5741 0.8698 -6.7206 Cu
-1.3724 1.7667 -10.9908 Cu
-1.3281 -0.6691 -8.0396 Cu
-4.4061 -0.4626 -10.3041 Cu
-6.0607 1.5290 -11.1485 Cu
-5.8927 0.1965 -14.7319 Cu
-4.6184 3.3056 -9.6718 Cu
-2.8590 2.4258 -15.4186 Cu
-2.8147 -0.0100 -12.4674 Cu
-3.0270 3.7583 -11.8352 Cu
-1.5404 3.0991 -7.4073 Cu
-6.1050 3.9648 -14.0997 Cu

=====

Record 7
Dy2Zn2Cu3, relaxed, DFT PBE; V = 17.909 Å³/atom; Fermi-level density of states = 5.40 states/eV per cell; size of the total moment = 0.0 Bohr magnetons per cell; DFT formation energy = -176 kJ/mol of formula units; space-group type = C2/m
1.0
-1.5774 2.3287 -3.0241
-3.2036 -0.1621 4.3663
4.7948 4.3638 0.8593
Dy Zn Cu
2 2 3
Cartesian
-2.5096 2.9243 0.7408 Dy
2.5233 3.6061 1.4607 Dy
0.0856 5.2080 1.1457 Zn
-0.0719 1.3224 1.0558 Zn
-0.7887 1.1644 -1.5120 Cu
0.4129 3.2116 -0.5624 Cu
-0.3992 3.3188 2.7639 Cu

=====

Record 8
DyZn6Cu2, relaxed, DFT PBE; V = 20.178 Å³/atom; Fermi-level density of states = 4.57 states/eV per cell; size of the total moment = 0.0 Bohr magnetons per cell; DFT formation energy = 220 kJ/mol of formula units; space-group type = Fd-3m
1.0
-6.4644 3.8531 2.7389
-5.5302 -3.9603 4.2272
-0.8038 1.3981 7.8445
Dy Zn Cu
2 12 4
Cartesian
-6.3992 0.6454 7.4053 Dy
-9.5988 0.9681 11.1080 Dy
-3.4930 1.0363 7.6334 Zn
-9.3054 0.2545 7.1772 Zn
-5.9479 -1.7468 5.7546 Zn
-6.3653 -1.0206 9.8290 Zn
-5.8888 -0.0390 3.4916 Zn
-3.2309 1.8643 1.4599 Zn
-6.8505 3.0376 9.0560 Zn
-0.5104 0.6844 3.9137 Zn
-3.6172 2.5363 5.2301 Zn
-3.1683 -1.2189 5.9454 Zn
-6.4331 2.3114 4.9816 Zn
-2.7820 -1.8909 2.1752 Zn
-1.5998 0.1614 1.8513 Cu
-4.3649 -1.8188 3.9649 Cu
-2.0017 0.8604 5.7736 Cu
-4.8320 2.0879 3.2208 Cu